First-principles (PBE-GGA) data for crystalline TbYSb at its relaxed geometry, as listed in the Alexandria database.

It has space group I4mm (No. 107), with a = 3.9915 Å, b = 3.9915 Å, c = 10.6146 Å, α = 90.00°, β = 90.00° and γ = 90.00°. The asymmetric unit holds Tb at (0.0000, 0.0000, 0.0000), Y at (0.0000, 0.0000, 0.6914) and Sb at (0.0000, 0.0000, 0.3443).

Its crystal system is tetragonal. The formation energy from raw total energies is -0.649 eV per atom. As for the total energy: -17.165 eV/f.u.